Entry 1:
# Dy2Tm5Sc2

A relaxed structure of Dy2Tm5Sc2 (PBE, the Alexandria database).

Geometry as extended XYZ:
```
18
Lattice="-9.608 4.108 3.414 9.608 -4.108 3.414 9.608 4.108 -3.414" Properties=species:S:1:pos:R:3 pbc="T T T"
Dy 0.000 0.000 0.000
Dy 9.608 0.000 0.000
Dy 4.804 0.449 -0.213
Dy 4.804 3.659 3.201
Tm 4.804 3.723 -0.239
Tm -3.184 2.053 1.478
Tm 12.792 2.053 1.478
Tm 2.110 2.231 1.479
Tm 7.498 2.231 1.479
Tm 4.804 0.386 3.175
Tm -2.110 5.986 1.479
Tm 2.110 1.877 4.893
Tm 3.184 6.163 1.478
Tm -3.184 2.055 4.892
Sc 10.421 3.037 -0.207
Sc 8.796 -1.071 3.206
Sc 0.813 5.179 -0.207
Sc -0.813 1.071 3.206
```

Output
* M_tot: 0.00 μB per cell
* ΔE_f: 216 meV per atom
* energy above the most stable polymorph in this dataset: 130 meV/atom
* D(E_F): 27.749 states/eV per cell

Entry 2:
# DyTm3Sc3

A relaxed structure of DyTm3Sc3 (PBE, the Alexandria database).

Geometry as extended XYZ:
```
14
Lattice="5.887 0.000 0.000 2.943 5.102 0.000 2.933 1.699 13.587" Properties=species:S:1:pos:R:3 pbc="T T T"
Dy 4.405 2.551 13.586
Dy 7.358 4.251 0.001
Tm 2.445 2.550 2.856
Tm 6.367 5.956 10.732
Tm 5.395 4.255 2.855
Tm 6.368 2.547 10.731
Tm 5.396 0.846 2.855
Tm 9.318 4.252 10.730
Sc 3.434 4.246 5.525
Sc 5.394 4.253 8.063
Sc 3.433 0.855 5.524
Sc 8.330 5.946 8.063
Sc 6.368 2.549 5.524
Sc 8.329 2.555 8.062
```

Output
* M_tot: 0.00 μB per cell
* ΔE_f: 154 meV per atom
* energy above the most stable polymorph in this dataset: 135 meV/atom
* D(E_F): 22.527 states/eV per cell

Entry 3:
# Dy7Tm2Sc2

A relaxed structure of Dy7Tm2Sc2 (PBE, the Alexandria database).

Geometry as extended XYZ:
```
11
Lattice="3.238 -5.805 0.000 3.238 5.805 0.000 0.000 0.000 9.351" Properties=species:S:1:pos:R:3 pbc="T T T"
Dy 0.000 0.000 0.000
Dy 1.619 2.903 2.871
Dy 1.619 2.903 6.480
Dy 1.619 -2.903 2.871
Dy 1.619 -2.903 6.480
Dy 3.238 0.000 1.704
Dy 3.238 0.000 7.647
Tm 1.618 0.000 4.676
Tm 4.857 0.000 4.676
Sc 3.238 2.662 0.000
Sc 3.238 -2.662 0.000
```

Output
* M_tot: 0.00 μB per cell
* ΔE_f: 355 meV per atom
* energy above the most stable polymorph in this dataset: 211 meV/atom
* D(E_F): 19.063 states/eV per cell

Entry 4:
# Dy6Tm3Sc

A relaxed structure of Dy6Tm3Sc (PBE, the Alexandria database).

Geometry as extended XYZ:
```
20
Lattice="5.415 -9.373 0.000 5.415 9.373 0.000 0.000 0.000 6.091" Properties=species:S:1:pos:R:3 pbc="T T T"
Dy 5.415 8.481 3.046
Dy 2.823 3.956 0.469
Dy 5.415 4.180 4.757
Dy 3.632 0.866 5.424
Dy 3.632 -0.866 2.378
Dy 2.823 -3.956 3.514
Dy 8.007 3.956 0.469
Dy 7.198 0.866 5.424
Dy 7.198 -0.866 2.378
Dy 5.415 -4.180 1.712
Dy 8.007 -3.956 3.514
Dy 5.415 -8.481 0.000
Tm 1.781 2.058 2.864
Tm 1.781 -2.058 5.910
Tm 5.415 2.089 2.191
Tm 5.415 -2.089 5.236
Tm 9.049 2.058 2.864
Tm 9.049 -2.058 5.910
Sc 5.415 5.534 1.801
Sc 5.415 -5.534 4.847
```

Output
* M_tot: 0.00 μB per cell
* ΔE_f: 143 meV per atom
* energy above the most stable polymorph in this dataset: 0 meV/atom
* D(E_F): 28.273 states/eV per cell

Entry 5:
# Dy6Tm2Sc3

A relaxed structure of Dy6Tm2Sc3 (PBE, the Alexandria database).

Geometry as extended XYZ:
```
11
Lattice="1.734 1.001 30.735 -1.734 1.001 30.735 0.000 -2.002 30.735" Properties=species:S:1:pos:R:3 pbc="T T T"
Dy 0.000 0.000 8.154
Dy 0.000 0.000 16.824
Dy 0.000 0.000 33.455
Dy 0.000 0.000 58.750
Dy 0.000 0.000 75.381
Dy 0.000 0.000 84.051
Tm 0.000 0.000 41.776
Tm 0.000 0.000 50.429
Sc 0.000 0.000 0.000
Sc 0.000 0.000 25.291
Sc 0.000 0.000 66.914
```

Output
* M_tot: 0.00 μB per cell
* ΔE_f: 45 meV per atom
* D(E_F): 15.190 states/eV per cell

Entry 6:
# Dy4Tm10Sc

A relaxed structure of Dy4Tm10Sc (PBE, the Alexandria database).

Geometry as extended XYZ:
```
15
Lattice="-5.588 5.588 3.757 5.588 -5.588 3.757 5.588 5.588 -3.757" Properties=species:S:1:pos:R:3 pbc="T T T"
Dy 2.609 2.609 0.000
Dy 2.979 -2.979 3.757
Dy -2.979 2.979 3.757
Dy 2.979 2.979 3.757
Tm 5.588 3.262 -1.621
Tm 5.588 0.000 1.878
Tm 3.262 5.588 -1.621
Tm 2.326 0.000 2.135
Tm 0.000 2.326 2.135
Tm 5.588 3.262 1.621
Tm 3.262 5.588 1.621
Tm 2.326 0.000 5.378
Tm 0.000 5.588 1.878
Tm 0.000 2.326 5.378
Sc 0.000 0.000 0.000
```

Output
* M_tot: 0.00 μB per cell
* ΔE_f: 262 meV per atom
* D(E_F): 21.355 states/eV per cell

Entry 7:
# Dy8Tm2Sc3

A relaxed structure of Dy8Tm2Sc3 (PBE, the Alexandria database).

Geometry as extended XYZ:
```
13
Lattice="6.544 -5.564 0.000 6.544 5.564 0.000 -2.430 0.000 5.397" Properties=species:S:1:pos:R:3 pbc="T T T"
Dy 0.519 0.000 1.445
Dy 2.430 2.582 4.601
Dy 3.837 0.000 2.064
Dy 8.228 2.582 0.795
Dy 2.430 -2.582 4.601
Dy 6.821 0.000 3.333
Dy 8.228 -2.582 0.795
Dy 10.139 0.000 3.952
Tm 0.320 0.000 4.510
Tm 10.338 0.000 0.887
Sc 5.329 3.001 2.698
Sc 6.544 0.000 0.000
Sc 5.329 -3.001 2.698
```

Output
* M_tot: 0.00 μB per cell
* ΔE_f: 192 meV per atom
* energy above the most stable polymorph in this dataset: 0 meV/atom
* D(E_F): 20.184 states/eV per cell

Entry 8:
# DyTm14Sc

A relaxed structure of DyTm14Sc (PBE, the Alexandria database).

Geometry as extended XYZ:
```
16
Lattice="10.838 0.000 0.000 0.000 4.070 5.437 0.000 -4.070 5.437" Properties=species:S:1:pos:R:3 pbc="T T T"
Dy 0.000 0.000 0.000
Tm 0.000 -1.656 7.787
Tm 0.000 1.656 7.787
Tm 2.484 0.000 2.317
Tm 2.688 -2.366 4.694
Tm 2.688 2.366 4.694
Tm 2.924 0.000 7.066
Tm 5.419 -2.413 7.004
Tm 5.419 0.000 4.529
Tm 5.419 0.000 9.390
Tm 5.419 2.413 7.004
Tm 7.914 0.000 7.066
Tm 8.150 -2.366 4.694
Tm 8.150 2.366 4.694
Tm 8.354 0.000 2.317
Sc 0.000 0.000 4.828
```

Output
* M_tot: 0.00 μB per cell
* ΔE_f: 71 meV per atom
* D(E_F): 30.713 states/eV per cell

Entry 9:
# Dy3TmSc2

A relaxed structure of Dy3TmSc2 (PBE, the Alexandria database).

Geometry as extended XYZ:
```
12
Lattice="7.158 -4.814 0.000 7.158 4.814 0.000 0.000 0.000 5.416" Properties=species:S:1:pos:R:3 pbc="T T T"
Dy 7.158 3.914 4.062
Dy 3.499 1.273 1.354
Dy 3.499 -1.273 4.062
Dy 10.816 1.273 1.354
Dy 10.816 -1.273 4.062
Dy 7.158 -3.914 1.354
Tm 7.158 2.116 1.354
Tm 7.158 -2.116 4.062
Sc 5.650 0.918 4.062
Sc 5.650 -0.918 1.354
Sc 8.666 0.918 4.062
Sc 8.666 -0.918 1.354
```

Output
* M_tot: 0.00 μB per cell
* ΔE_f: 299 meV per atom
* energy above the most stable polymorph in this dataset: 150 meV/atom
* D(E_F): 21.718 states/eV per cell

Entry 10:
# Dy5Tm4Sc

A relaxed structure of Dy5Tm4Sc (PBE, the Alexandria database).

Geometry as extended XYZ:
```
10
Lattice="4.927 0.000 0.000 -0.016 6.992 0.000 -2.461 -1.743 8.728" Properties=species:S:1:pos:R:3 pbc="T T T"
Dy 0.000 0.000 0.000
Dy -0.001 0.000 3.456
Dy -0.009 3.518 6.988
Dy 2.459 1.768 1.725
Dy 2.458 1.770 5.232
Tm -0.009 3.529 0.012
Tm -0.009 3.525 3.450
Tm -0.002 0.016 6.960
Tm 2.451 5.253 5.192
Sc 2.451 5.258 1.733
```

Output
* M_tot: 0.00 μB per cell
* ΔE_f: 28 meV per atom
* energy above the most stable polymorph in this dataset: 0 meV/atom
* D(E_F): 12.721 states/eV per cell

Entry 11:
# Dy8Tm2Sc3

A relaxed structure of Dy8Tm2Sc3 (PBE, the Alexandria database).

Geometry as extended XYZ:
```
13
Lattice="7.526 0.000 0.000 0.000 5.491 0.000 -3.756 0.000 9.678" Properties=species:S:1:pos:R:3 pbc="T T T"
Dy -0.310 0.000 2.861
Dy -1.877 2.746 8.065
Dy -0.304 0.000 6.818
Dy 1.883 2.746 2.388
Dy 1.887 2.746 7.290
Dy 4.073 0.000 2.860
Dy 5.646 2.746 1.612
Dy 4.079 0.000 6.817
Tm 1.883 0.000 0.205
Tm 1.887 0.000 9.473
Sc -0.320 2.746 4.839
Sc 1.885 0.000 4.839
Sc 4.089 2.746 4.839
```

Output
* M_tot: 0.00 μB per cell
* ΔE_f: 222 meV per atom
* energy above the most stable polymorph in this dataset: 30 meV/atom
* D(E_F): 19.380 states/eV per cell

Entry 12:
# Dy6Tm4Sc

A relaxed structure of Dy6Tm4Sc (PBE, the Alexandria database).

Geometry as extended XYZ:
```
22
Lattice="2.781 -4.763 0.000 2.781 4.763 0.000 0.000 0.000 25.364" Properties=species:S:1:pos:R:3 pbc="T T T"
Dy 0.000 0.000 0.000
Dy 0.000 0.000 12.682
Dy 2.781 4.654 19.023
Dy 2.781 1.691 2.680
Dy 2.781 1.691 10.002
Dy 2.781 1.476 17.313
Dy 2.781 1.476 20.732
Dy 2.781 -1.476 4.632
Dy 2.781 -1.476 8.050
Dy 2.781 -1.691 15.362
Dy 2.781 -1.691 22.683
Dy 2.781 -4.654 6.341
Tm 2.781 4.640 15.773
Tm 2.781 4.640 22.273
Tm 2.781 1.546 13.781
Tm 2.781 1.546 24.264
Tm 2.781 -1.546 1.099
Tm 2.781 -1.546 11.582
Tm 2.781 -4.640 3.091
Tm 2.781 -4.640 9.591
Sc 2.781 1.691 6.341
Sc 2.781 -1.691 19.023
```

Output
* M_tot: 0.00 μB per cell
* ΔE_f: 135 meV per atom
* energy above the most stable polymorph in this dataset: 0 meV/atom
* D(E_F): 36.421 states/eV per cell